VASP calculation (PBE) on a relaxed structure of SeIF.

ΔE to the lowest computed polymorph: 14 meV per atom
space group: P-1
density of states at the Fermi level: 0.96 states/eV/cell
ΔE_f (raw): -155 kJ/mol of formula units
magnetization: 0.0000 μB/atom

Geometry as extended XYZ:
```
6
Lattice="4.674 0.000 0.000 0.618 5.357 0.000 0.962 0.330 7.453" Properties=species:S:1:pos:R:3 pbc="T T T"
Se 0.726 1.491 2.111
Se 5.528 4.197 5.341
I 1.775 4.089 2.442
I 4.479 1.598 5.010
F 1.314 1.417 0.376
F 4.940 4.270 7.077
```